1.
A plane-wave DFT calculation with GGA-PBE was carried out for a geometry-optimized Mg5Cd4In structure.

The structure in POSCAR format:
```
Mg5Cd4In
1.0
3.5989 0.0000 0.0000
0.0000 3.5989 0.0000
0.0000 0.0000 16.9942
Mg Cd In
5 4 1
Direct
0.5000 0.5000 0.1073
0.5000 0.5000 0.3046
0.5000 0.5000 0.5000
0.5000 0.5000 0.6954
0.5000 0.5000 0.8927
0.0000 0.0000 0.2061
0.0000 0.0000 0.4025
0.0000 0.0000 0.5975
0.0000 0.0000 0.7939
0.0000 0.0000 0.0000
```

Summary:
- D(E_F) (states/eV/cell) = 2.6
- uncorrected energy (eV per cell) = -15.3
- formation energy (meV/atom) = -89
- space group = No. 123



2.
A plane-wave DFT calculation with GGA-PBE was carried out for a geometry-optimized CsErP2S8 structure.

The structure in POSCAR format:
```
CsErP2S8
1.0
-5.2116 0.5365 3.3602
1.1389 -5.2389 -3.1617
4.6693 -3.7133 7.8348
Cs Er P S
1 1 2 8
Direct
0.0000 0.0000 0.0000
0.0000 0.0000 0.5000
0.6667 0.3333 0.2827
0.3333 0.6667 0.7173
0.3333 0.6667 0.9231
0.3644 0.3611 0.3409
0.6389 0.0033 0.3409
0.6667 0.3333 0.0769
0.3611 0.9967 0.6591
0.6356 0.6389 0.6591
0.0033 0.3644 0.6591
0.9967 0.6356 0.3409
```

Summary:
- D(E_F) (states/eV/cell) = 9.6
- uncorrected energy (eV per cell) = -56.5
- energy relative to the elements, uncorrected (eV per atom) = -0.5998
- space group = No. 147



3.
A plane-wave DFT calculation with GGA-PBE was carried out for a geometry-optimized Ca2CdSi structure.

The structure in POSCAR format:
```
Ca2CdSi
1.0
-3.8821 4.1429 -2.1997
-3.7333 1.6813 -4.5065
-4.9946 -1.6410 1.4291
Ca Cd Si
2 1 1
Direct
0.9670 0.9670 0.0667
0.7703 0.7703 0.7023
0.5363 0.5363 0.5195
0.2264 0.2264 0.2115
```

Summary:
- D(E_F) (states/eV/cell) = 2.0
- uncorrected energy (eV per cell) = -11.2
- energy relative to the elements, uncorrected (eV per atom) = -0.2248
- space group = No. 8



4.
A plane-wave DFT calculation with GGA-PBE was carried out for a geometry-optimized YMo3As structure.

The structure in POSCAR format:
```
YMo3As
1.0
-0.6124 -2.6859 -3.9853
-1.4319 -3.7331 2.7359
-4.5876 1.5237 -0.3219
Y Mo As
1 3 1
Direct
0.0000 0.0000 0.0000
0.0000 0.5000 0.0000
0.0000 0.0000 0.5000
0.5000 0.0000 0.0000
0.5000 0.5000 0.5000
```

Summary:
- D(E_F) (states/eV/cell) = 5.6
- uncorrected energy (eV per cell) = -31.0
- formation energy (meV/atom) = 2527
- space group = No. 221
- energy above the most stable polymorph in this dataset (eV/f.u.) = 9.30



5.
A plane-wave DFT calculation with GGA-PBE was carried out for a geometry-optimized Lu2GaPt structure.

The structure in POSCAR format:
```
Lu2GaPt
1.0
3.4910 0.0000 0.0000
0.0000 3.4910 0.0000
0.0000 0.0000 6.8321
Lu Ga Pt
2 1 1
Direct
0.0000 0.0000 0.7606
0.0000 0.0000 0.2394
0.5000 0.5000 0.5000
0.5000 0.5000 0.0000
```

Summary:
- D(E_F) (states/eV/cell) = 2.4
- uncorrected energy (eV per cell) = -21.9
- formation energy (meV/atom) = -954
- space group = No. 123



6.
A plane-wave DFT calculation with GGA-PBE was carried out for a geometry-optimized RbInGe structure.

The structure in POSCAR format:
```
RbInGe
1.0
-1.6097 -7.6735 -1.1165
-0.7807 -1.5433 6.4194
-3.6446 1.7410 1.3878
Ge Rb In
2 2 2
Direct
0.3010 0.4319 0.3239
0.1871 0.2654 0.8502
0.4725 0.8326 0.7063
0.7545 0.2534 0.1378
0.0810 0.8655 0.9927
0.9154 0.6478 0.5191
```

Summary:
- D(E_F) (states/eV/cell) = 2.4
- uncorrected energy (eV per cell) = -17.0
- formation energy (meV/atom) = -62
- space group = No. 1



7.
A plane-wave DFT calculation with GGA-PBE was carried out for a geometry-optimized KMo2Os structure.

The structure in POSCAR format:
```
KMo2Os
1.0
-1.5731 5.2500 -1.4082
-1.5769 -4.4567 -3.1097
-2.1392 -0.2528 1.4471
K Mo Os
1 2 1
Direct
0.0000 0.5000 0.5000
0.0000 0.0000 0.0000
0.5000 0.5000 0.0000
0.5000 0.0000 0.5000
```

Summary:
- D(E_F) (states/eV/cell) = 4.4
- uncorrected energy (eV per cell) = -28.1
- formation energy (meV/atom) = 1468
- space group = No. 65
- energy above the most stable polymorph in this dataset (eV/f.u.) = 2.78



8.
A plane-wave DFT calculation with GGA-PBE was carried out for a geometry-optimized Pr3HoBi4 structure.

The structure in POSCAR format:
```
Pr3HoBi4
1.0
-3.8425 -0.7125 2.4304
4.2559 -3.6369 5.6626
-0.4359 7.7893 1.5945
Pr Ho Bi
3 1 4
Direct
0.0000 0.0000 0.5000
0.5000 0.5000 0.5000
0.0000 0.5000 0.0000
0.5000 0.0000 0.0000
0.0000 0.2421 0.2421
0.5000 0.7540 0.2460
0.0000 0.7579 0.7579
0.5000 0.2460 0.7540
```

Summary:
- D(E_F) (states/eV/cell) = 1.2
- uncorrected energy (eV per cell) = -41.8
- formation energy (meV/atom) = -922
- space group = No. 65